DFT (GGA-PBEsol) results for TlPdIO2 after structural relaxation.

POSCAR file:
```
TlPdIO2
1.0
4.0247 0.0000 0.0000
0.0000 4.0247 0.0000
0.0000 0.0000 6.8391
Tl Pd I O
1 1 1 2
direct
0.0000 0.0000 0.0000
0.5000 0.5000 0.5000
0.0000 0.0000 0.5000
0.0000 0.5000 0.0000
0.5000 0.0000 0.0000
```

Output
raw total energy = -3.834 eV per atom
energy relative to the elements, uncorrected = 337 meV per atom
total magnetization = 0.631 μB/cell
distance to the lowest polymorph of the same formula = 0.205 eV/atom